The following is a PBE calculation of an optimized crystal structure of CaY2GeC, from Alexandria.

Structure (CIF):
```
data_CaY2GeC
_chemical_formula_sum 'Ca1 Y2 Ge1 C1'
_symmetry_space_group_name_H-M 'P 4/m m m'
_symmetry_Int_Tables_number 123
_symmetry_space_group_name_Hall '-P 4 2'
_cell_length_a 4.855
_cell_length_b 4.855
_cell_length_c 4.856
_cell_angle_alpha 90.00
_cell_angle_beta 90.00
_cell_angle_gamma 90.00
loop_
_atom_site_label
_atom_site_fract_x
_atom_site_fract_y
_atom_site_fract_z
Ca1 0.000 0.000 0.000
Y1 0.000 0.500 0.500
Ge1 0.500 0.500 0.000
C1 0.000 0.000 0.500
```

Calculated values
calculated formation energy	-2.27	eV/f.u.
calculated density	4.39	g/cm³